Model one:
## La2HoTm6 (GGA-PBE)

Data for a geometry-optimized La2HoTm6 structure.

Cell lengths 9.056, 8.875, 8.875 Å; angles 82.48, 64.05, 64.05 degrees
Fractional coordinates of all 18 atoms:
La 0.063 0.600 0.783
La 0.437 0.217 0.400
La 0.937 0.400 0.217
La 0.563 0.783 0.600
Ho 0.250 0.170 0.830
Ho 0.750 0.830 0.170
Tm 0.461 0.596 0.331
Tm 0.039 0.669 0.404
Tm 0.539 0.404 0.669
Tm 0.961 0.331 0.596
Tm 0.861 0.064 0.391
Tm 0.639 0.609 0.936
Tm 0.139 0.936 0.609
Tm 0.361 0.391 0.064
Tm 0.183 0.812 0.996
Tm 0.317 0.004 0.188
Tm 0.817 0.188 0.004
Tm 0.683 0.996 0.812

Calculated values
V: 31.95 Å³ per atom
Crystal system: monoclinic

Model two:
## La2HoTm6 (GGA-PBE)

Data for a geometry-optimized La2HoTm6 structure.

Cell lengths 3.460, 10.353, 10.353 Å; angles 56.24, 109.51, 109.51 degrees
Fractional coordinates of all 9 atoms:
La 0.333 0.667 0.667
La 0.667 0.333 0.333
Ho 0.000 0.000 0.000
Tm 0.830 0.330 0.000
Tm 0.170 0.000 0.670
Tm 0.170 0.670 0.000
Tm 0.500 0.330 0.670
Tm 0.830 0.000 0.330
Tm 0.500 0.670 0.330

Calculated values
V: 31.71 Å³ per atom
Crystal system: hexagonal

The calculated energies rank the structures as follows, beginning with the most stable: model one, model two.